[1]
The following is a PBE-GGA calculation of crystalline NdMn5Si3 at its relaxed geometry, from Alexandria via LeMat-Bulk.

Unit cell a=3.8512 b=6.3927 c=11.2806 alpha=90.00 beta=90.00 gamma=107.53
Last column: magnetic moment on the atom in μB.
Positions (direct):
Mn1 0.1915 0.3830 0.5563  1.87
Mn2 0.4435 0.8871 0.1486  0.88
Mn3 0.5565 0.1129 0.8514  0.88
Mn4 0.4435 0.8871 0.3514  0.88
Mn5 0.0000 0.0000 0.0000  2.15
Mn6 0.5565 0.1129 0.6486  0.88
Mn7 0.1915 0.3830 0.9437  1.87
Mn8 0.0000 0.0000 0.5000  2.15
Mn9 0.8085 0.6170 0.4437  1.87
Mn10 0.8085 0.6170 0.0563  1.87
Si1 0.8802 0.7604 0.2500  -0.05
Si2 0.6179 0.2359 0.4487  -0.07
Si3 0.3821 0.7641 0.5513  -0.07
Si4 0.3821 0.7641 0.9487  -0.07
Si5 0.1198 0.2396 0.7500  -0.05
Si6 0.6179 0.2359 0.0513  -0.07
Nd1 0.8333 0.6665 0.7500  -0.08
Nd2 0.1667 0.3335 0.2500  -0.08

Output
Total magnetization, μB/atom: 0.83
Formation energy without anion corrections, kJ/mol of formula units: -316
V, A^3/atom: 14.71
DOS(E_F), states/eV per cell: 11.96
Symmetry: Cmcm

=====

[2]
The following is a PBE-GGA calculation of crystalline BeCd2As at its relaxed geometry, from Alexandria via LeMat-Bulk.

Unit cell a=2.9563 b=2.9563 c=8.4172 alpha=90.00 beta=90.00 gamma=90.00
Positions (direct):
Cd1 0.0000 0.0000 0.5448
Cd2 0.0000 0.0000 0.9552
Be1 0.5000 0.5000 0.7500
As1 0.5000 0.5000 0.2500

Output
Total magnetization, μB/atom: 0.00
Energy above the most stable polymorph in this dataset, eV/atom: 0.235
V, A^3/atom: 18.39
Formation energy, meV per atom: 377
DOS(E_F), states/eV per cell: 1.09
Symmetry: P4/mmm

=====

[3]
The following is a PBE-GGA calculation of crystalline KCa4Zr at its relaxed geometry, from Alexandria via LeMat-Bulk.

Unit cell a=7.0616 b=7.0616 c=7.0616 alpha=60.00 beta=60.00 gamma=60.00
Last column: magnetic moment on the atom in μB.
Positions (direct):
Ca1 0.8788 0.3737 0.3737  0.04
Ca2 0.3737 0.8788 0.3737  0.04
Ca3 0.3737 0.3737 0.8788  0.04
Ca4 0.3737 0.3737 0.3737  0.04
K1 0.7500 0.7500 0.7500  0.00
Zr1 0.0000 0.0000 0.0000  1.25

Output
Total magnetization, μB/atom: 0.48
V, A^3/atom: 41.50
Formation energy, meV per atom: 598
DOS(E_F), states/eV per cell: 9.65
Symmetry: F-43m

=====

[4]
The following is a PBE-GGA calculation of crystalline NaScTi2V at its relaxed geometry, from Alexandria via LeMat-Bulk.

Unit cell a=4.6190 b=4.7761 c=4.6190 alpha=90.00 beta=90.00 gamma=90.00
Positions (direct):
Sc1 0.0000 0.0000 0.0000
Ti1 0.0000 0.0000 0.5000
Ti2 0.5000 0.0000 0.0000
V1 0.5000 0.5000 0.5000
Na1 0.0000 0.5000 0.0000

Output
Total magnetization, μB/atom: 0.00
V, A^3/atom: 20.38
Formation energy, meV per atom: 1622
DOS(E_F), states/eV per cell: 8.51
Symmetry: P4/mmm

=====

[5]
The following is a PBE-GGA calculation of crystalline Ac2SnSe5 at its relaxed geometry, from Alexandria via LeMat-Bulk.

Unit cell a=5.7521 b=8.1434 c=14.0285 alpha=90.00 beta=90.00 gamma=110.68
Positions (direct):
Ac1 0.1501 0.3001 0.5720
Ac2 0.8499 0.6999 0.0720
Ac3 0.8499 0.6999 0.4280
Ac4 0.1501 0.3001 0.9280
Se1 0.9547 0.9094 0.8861
Se2 0.2848 0.5696 0.7500
Se3 0.2877 0.5754 0.1007
Se4 0.9547 0.9094 0.6139
Se5 0.0453 0.0906 0.3861
Se6 0.0453 0.0906 0.1139
Se7 0.7123 0.4246 0.8993
Se8 0.2877 0.5754 0.3993
Se9 0.7152 0.4304 0.2500
Se10 0.7123 0.4246 0.6007
Sn1 0.1657 0.3314 0.2500
Sn2 0.8343 0.6686 0.7500

Output
Total magnetization, μB/atom: 0.00
Formation energy without anion corrections, kJ/mol of formula units: -947
Energy above the most stable polymorph in this dataset, eV/atom: 0.200
V, A^3/atom: 38.42
DOS(E_F), states/eV per cell: 2.43
Symmetry: Cmcm

=====

[6]
The following is a PBE-GGA calculation of crystalline Li2PtAu at its relaxed geometry, from Alexandria via LeMat-Bulk.

Unit cell a=2.8178 b=2.8179 c=7.2920 alpha=90.00 beta=90.00 gamma=90.01
Positions (direct):
Li1 0.0000 0.0000 0.0132
Li2 0.0000 0.0000 0.4868
Pt1 0.5000 0.5000 0.2500
Au1 0.5000 0.5000 0.7500

Output
Total magnetization, μB/atom: 0.00
V, A^3/atom: 14.47
Formation energy, meV per atom: -548
DOS(E_F), states/eV per cell: 1.22
Symmetry: P4/mmm

=====

[7]
The following is a PBE-GGA calculation of crystalline Pr3HoP4 at its relaxed geometry, from Alexandria via LeMat-Bulk.

Unit cell a=7.1906 b=7.1891 c=8.3121 alpha=90.00 beta=90.00 gamma=109.51
Positions (direct):
P1 0.5004 0.2409 0.8799
P2 0.4952 0.2460 0.3702
P3 0.9996 0.7591 0.8799
P4 0.5048 0.7540 0.6298
P5 0.0048 0.7540 0.3702
P6 0.0004 0.2409 0.1201
P7 0.9952 0.2460 0.6298
P8 0.4996 0.7591 0.1201
Pr1 0.2500 0.5000 0.3734
Pr2 0.2500 0.5000 0.8761
Pr3 0.7500 0.5000 0.1239
Pr4 0.2500 0.0000 0.6264
Pr5 0.7500 0.0000 0.3736
Pr6 0.7500 0.5000 0.6266
Ho1 0.2500 0.0000 0.1237
Ho2 0.7500 0.0000 0.8763

Output
Total magnetization, μB/atom: 0.00
V, A^3/atom: 25.31
Formation energy, meV per atom: -1527
DOS(E_F), states/eV per cell: 2.05
Symmetry: P2/c

=====

[8]
The following is a PBE-GGA calculation of crystalline HS at its relaxed geometry, from Alexandria via LeMat-Bulk.

Unit cell a=6.2540 b=6.2540 c=6.2540 alpha=90.00 beta=90.00 gamma=90.00
Positions (direct):
S1 0.2393 0.2393 0.2393
S2 0.2607 0.2607 0.7393
S3 0.7607 0.2393 0.7607
S4 0.2393 0.7607 0.7607
S5 0.2607 0.7393 0.2607
S6 0.7607 0.7607 0.2393
S7 0.7393 0.7393 0.7393
S8 0.7393 0.2607 0.2607
H1 0.3853 0.6147 0.3853
H2 0.6147 0.6147 0.6147
H3 0.3853 0.3853 0.6147
H4 0.8853 0.1147 0.8853
H5 0.1147 0.8853 0.8853
H6 0.6147 0.3853 0.3853
H7 0.1147 0.1147 0.1147
H8 0.8853 0.8853 0.1147

Output
Total magnetization, μB/atom: 0.00
Energy above the most stable polymorph in this dataset, eV/atom: 0.574
V, A^3/atom: 15.29
DOS(E_F), states/eV per cell: 9.28
Symmetry: I-43m

=====

[9]
The following is a PBE-GGA calculation of crystalline YTaCu2 at its relaxed geometry, from Alexandria via LeMat-Bulk.

Unit cell a=5.3294 b=5.3294 c=5.3294 alpha=136.60 beta=136.60 gamma=63.06
Positions (direct):
Cu1 0.2500 0.7500 0.5000
Cu2 0.0000 0.0000 0.0000
Ta1 0.5000 0.5000 0.0000
Y1 0.7500 0.2500 0.5000

Output
Total magnetization, μB/atom: 0.00
Energy above the most stable polymorph in this dataset, eV/atom: 0.256
V, A^3/atom: 17.64
Formation energy, meV per atom: 324
DOS(E_F), states/eV per cell: 3.48
Symmetry: I-4m2

=====

[10]
The following is a PBE-GGA calculation of crystalline Ba4PtI2Br at its relaxed geometry, from Alexandria via LeMat-Bulk.

Unit cell a=4.6203 b=8.9389 c=8.5974 alpha=74.51 beta=90.00 gamma=90.00
Positions (direct):
Ba1 0.0000 0.3000 0.2082
Ba2 0.5000 0.2829 0.7667
Ba3 0.5000 0.7171 0.2333
Ba4 0.0000 0.7000 0.7918
Br1 0.0000 0.5000 0.5000
I1 0.0000 0.0000 0.0000
I2 0.5000 0.0000 0.5000
Pt1 0.5000 0.5000 0.0000

Output
Total magnetization, μB/atom: 0.01
Formation energy without anion corrections, kJ/mol of formula units: -1001
V, A^3/atom: 42.77
DOS(E_F), states/eV per cell: 6.47
Symmetry: P2/m

=====

[11]
The following is a PBE-GGA calculation of crystalline SmHoZnRh at its relaxed geometry, from Alexandria via LeMat-Bulk.

Unit cell a=4.9793 b=4.9793 c=4.9793 alpha=60.00 beta=60.00 gamma=60.00
Positions (direct):
Rh1 0.7500 0.7500 0.7500
Sm1 0.5000 0.5000 0.5000
Zn1 0.2500 0.2500 0.2500
Ho1 0.0000 0.0000 0.0000

Output
Total magnetization, μB/atom: 0.00
Energy above the most stable polymorph in this dataset, eV/atom: 0.010
V, A^3/atom: 21.82
Formation energy, meV per atom: -568
DOS(E_F), states/eV per cell: 2.12
Symmetry: F-43m

=====

[12]
The following is a PBE-GGA calculation of crystalline MnTe4Pt at its relaxed geometry, from Alexandria via LeMat-Bulk.

Unit cell a=6.1657 b=6.1657 c=6.1657 alpha=60.00 beta=60.00 gamma=60.00
Last column: magnetic moment on the atom in μB.
Positions (direct):
Te1 0.3741 0.3741 0.3741  -0.01
Te2 0.3741 0.8778 0.3741  -0.01
Te3 0.8778 0.3741 0.3741  -0.01
Te4 0.3741 0.3741 0.8778  -0.01
Mn1 0.7500 0.7500 0.7500  4.39
Pt1 0.0000 0.0000 0.0000  -0.10

Output
Total magnetization, μB/atom: 0.76
Formation energy without anion corrections, kJ/mol of formula units: 548
Energy above the most stable polymorph in this dataset, eV/atom: 1.229
V, A^3/atom: 27.62
DOS(E_F), states/eV per cell: 6.00
Symmetry: F-43m

=====

[13]
The following is a PBE-GGA calculation of crystalline YHoErSc at its relaxed geometry, from Alexandria via LeMat-Bulk.

Unit cell a=4.9207 b=4.9178 c=5.9855 alpha=114.26 beta=114.27 gamma=90.00
Positions (direct):
Er1 0.8696 0.3696 0.7393
Ho1 0.1198 0.1198 0.2396
Sc1 0.6198 0.6198 0.2396
Y1 0.3699 0.8699 0.7398

Output
Total magnetization, μB/atom: 0.00
Energy above the most stable polymorph in this dataset, eV/atom: 0.000
V, A^3/atom: 29.47
Formation energy, meV per atom: 47
DOS(E_F), states/eV per cell: 6.48
Symmetry: I-4m2

=====

[14]
The following is a PBE-GGA calculation of crystalline Pm4Al2TlHg at its relaxed geometry, from Alexandria via LeMat-Bulk.

Unit cell a=5.3590 b=5.3590 c=9.2879 alpha=73.23 beta=73.23 gamma=60.00
Positions (direct):
Al1 0.2500 0.2500 0.2500
Al2 0.7500 0.7500 0.7500
Pm1 0.1269 0.1269 0.6193
Pm2 0.6232 0.6232 0.1305
Pm3 0.8731 0.8731 0.3807
Pm4 0.3768 0.3768 0.8695
Hg1 0.5000 0.5000 0.5000
Tl1 0.0000 0.0000 0.0000

Output
Total magnetization, μB/atom: 0.00
V, A^3/atom: 27.23
Formation energy, meV per atom: -372
DOS(E_F), states/eV per cell: 7.50
Symmetry: R-3m

=====

[15]
The following is a PBE-GGA calculation of crystalline Pr2Al9Ir3 at its relaxed geometry, from Alexandria via LeMat-Bulk.

Unit cell a=7.6566 b=7.6566 c=10.6163 alpha=89.97 beta=110.96 gamma=120.31
Positions (direct):
Al1 0.2167 0.5256 0.5719
Al2 0.5379 0.0805 0.2521
Al3 0.7833 0.4744 0.4281
Al4 0.1236 0.1426 0.4305
Al5 0.1335 0.9850 0.9507
Al6 0.4536 0.6447 0.9281
Al7 0.4658 0.8172 0.4507
Al8 0.7880 0.3070 0.9305
Al9 0.4621 0.9195 0.7479
Al10 0.5342 0.1828 0.5493
Al11 0.8665 0.0150 0.0493
Al12 0.1228 0.8728 0.2500
Al13 0.6716 0.7141 0.7521
Al14 0.8764 0.8574 0.5695
Al15 0.8772 0.1272 0.7500
Al16 0.2120 0.6930 0.0695
Al17 0.5464 0.3553 0.0719
Al18 0.3284 0.2858 0.2479
Pr1 0.6641 0.7522 0.2498
Pr2 0.3359 0.2478 0.7502
Pr3 0.9977 0.5857 0.7498
Pr4 0.0023 0.4143 0.2502
Ir1 0.8286 0.6588 0.9993
Ir2 0.1714 0.3412 0.0007
Ir3 0.5000 0.0000 0.0000
Ir4 0.5000 0.5000 0.5000
Ir5 0.1595 0.8293 0.5007
Ir6 0.8405 0.1707 0.4993

Output
Total magnetization, μB/atom: 0.00
Energy above the most stable polymorph in this dataset, eV/atom: 0.003
V, A^3/atom: 17.47
Formation energy, meV per atom: -834
DOS(E_F), states/eV per cell: 12.62
Symmetry: C2/c

=====

[16]
The following is a PBE-GGA calculation of crystalline CdCoBr2 at its relaxed geometry, from Alexandria via LeMat-Bulk.

Unit cell a=5.4788 b=5.4788 c=7.1750 alpha=67.91 beta=67.91 gamma=35.97
Last column: magnetic moment on the atom in μB.
Positions (direct):
Br1 0.7676 0.7676 0.6368  0.16
Br2 0.9082 0.9082 0.1051  0.17
Cd1 0.5500 0.5500 0.3936  0.03
Co1 0.2742 0.2742 0.3645  2.07

Output
Total magnetization, μB/atom: 0.65
Formation energy without anion corrections, kJ/mol of formula units: -13
Energy above the most stable polymorph in this dataset, eV/atom: 0.091
V, A^3/atom: 29.05
DOS(E_F), states/eV per cell: 2.93
Symmetry: Cm

=====

[17]
The following is a PBE-GGA calculation of crystalline LaYHoMg at its relaxed geometry, from Alexandria via LeMat-Bulk.

Unit cell a=3.6664 b=3.6664 c=9.2981 alpha=90.00 beta=90.00 gamma=90.00
Positions (direct):
Mg1 0.0000 0.0000 0.5599
Ho1 0.0000 0.0000 0.0804
La1 0.5000 0.5000 0.8061
Y1 0.5000 0.5000 0.3383

Output
Total magnetization, μB/atom: 0.00
Energy above the most stable polymorph in this dataset, eV/atom: 0.000
V, A^3/atom: 31.25
Formation energy, meV per atom: -28
DOS(E_F), states/eV per cell: 5.32
Symmetry: P4mm

=====

[18]
The following is a PBE-GGA calculation of crystalline LiFe2W at its relaxed geometry, from Alexandria via LeMat-Bulk.

Unit cell a=4.2239 b=2.5538 c=4.8071 alpha=81.38 beta=90.00 gamma=90.00
Last column: magnetic moment on the atom in μB.
Positions (direct):
Fe1 0.5000 0.2511 0.2612  2.01
Fe2 0.0000 0.0303 0.9969  2.04
W1 0.5000 0.7370 0.7653  -0.33
Li1 0.0000 0.4816 0.4766  -0.05

Output
Total magnetization, μB/atom: 0.89
V, A^3/atom: 12.82
Formation energy, meV per atom: 290
DOS(E_F), states/eV per cell: 2.92
Symmetry: Pm

=====

[19]
The following is a PBE-GGA calculation of crystalline CuAu2Se at its relaxed geometry, from Alexandria via LeMat-Bulk.

Unit cell a=4.0273 b=4.0371 c=4.2773 alpha=90.00 beta=90.00 gamma=90.00
Positions (direct):
Au1 0.0000 0.0000 0.0000
Au2 0.5000 0.5000 0.0000
Cu1 0.5000 0.0000 0.5000
Se1 0.0000 0.5000 0.5000

Output
Total magnetization, μB/atom: 0.00
Formation energy without anion corrections, kJ/mol of formula units: 66
V, A^3/atom: 17.39
DOS(E_F), states/eV per cell: 1.77
Symmetry: P4/mmm

=====

[20]
The following is a PBE-GGA calculation of crystalline TiSbSe2 at its relaxed geometry, from Alexandria via LeMat-Bulk.

Unit cell a=8.7771 b=8.7771 c=8.7771 alpha=25.86 beta=25.86 gamma=25.86
Last column: magnetic moment on the atom in μB.
Positions (direct):
Sb1 0.5000 0.5000 0.5000  0.07
Se1 0.0980 0.0980 0.0980  -0.03
Se2 0.9020 0.9020 0.9020  -0.03
Ti1 0.0000 0.0000 0.0000  1.52

Output
Total magnetization, μB/atom: 0.55
Formation energy without anion corrections, kJ/mol of formula units: 50
V, A^3/atom: 28.33
DOS(E_F), states/eV per cell: 3.56
Symmetry: R-3m